The following is a DFT calculation (PBE) of a geometry-optimized NdZnSb structure.

Calculated values
- calculated density (g cm⁻³) = 7.20
- total DFT energy (no corrections) (eV per atom) = -4.082
- magnetization (μB/f.u.) = 0.000
- symmetry = P3m1, No. 156

a b c (Å): 4.4116 4.4713 4.4713
angles (deg): 120.00 90.00 90.00
Sites, in units of the cell vectors:
Nd (0.7045, 0.6667, 0.3333)
Zn (0.0511, 0.0000, 0.0000)
Sb (0.2444, 0.3333, 0.6667)

---

The following is a DFT calculation (PBE) of a geometry-optimized NaSr2B structure.

Calculated values
- calculated density (g cm⁻³) = 2.32
- energy relative to the elements (eV/atom) = 0.564
- magnetization (μB/f.u.) = 0.000
- symmetry = I-42d, No. 122

a b c (Å): 10.5701 10.5701 7.9393
angles (deg): 48.27 48.27 90.00
Sites, in units of the cell vectors:
Sr (0.2916, 0.6250, 0.2500)
Sr (0.4584, 0.1250, 0.2500)
Sr (0.3750, 0.5416, 0.7500)
Sr (0.8750, 0.7084, 0.7500)
B (0.5000, 0.5000, 0.0000)
B (0.2500, 0.7500, 0.5000)
Na (0.7500, 0.2500, 0.5000)
Na (0.0000, 0.0000, 0.0000)

---

The following is a DFT calculation (PBE) of a geometry-optimized Pm4TmGe5 structure.

Calculated values
- calculated density (g cm⁻³) = 6.91
- energy relative to the elements (eV/atom) = -0.652
- magnetization (μB/f.u.) = 0.000
- symmetry = I4/m, No. 87

a b c (Å): 5.9738 7.3249 7.3249
angles (deg): 80.43 65.94 65.94
Sites, in units of the cell vectors:
Ge (0.9019, 0.3933, 0.8049)
Ge (0.2952, 0.8049, 0.6067)
Ge (0.5012, 0.0000, 0.0000)
Ge (0.7067, 0.1951, 0.3933)
Ge (0.1001, 0.6067, 0.1951)
Pm (0.8010, 0.7974, 0.6027)
Pm (0.5984, 0.6027, 0.2026)
Pm (0.4036, 0.3973, 0.7974)
Pm (0.2011, 0.2026, 0.3973)
Tm (0.0012, 0.0000, 0.0000)